# 1
Compound: SmMgAl4
Source: Alexandria
Functional: PBE-GGA
Structure: optimized geometry

Cell lengths 5.554, 5.554, 5.554 Å; angles 60.00, 60.00, 60.00 degrees
Atoms (fractional coordinates):
Sm1 0.000 0.000 0.000
Mg1 0.750 0.750 0.750
Al1 0.375 0.375 0.375
Al2 0.375 0.375 0.876
Al3 0.375 0.876 0.375
Al4 0.876 0.375 0.375

Magnetization = 0.0 μB per formula unit
Space-group type = F-43m
E above lowest polymorph = 23 meV per atom

# 2
Compound: Sm4MgAl12
Source: Alexandria
Functional: PBE-GGA
Structure: optimized geometry

Cell lengths 7.710, 7.710, 7.710 Å; angles 109.47, 109.47, 109.47 degrees
Atoms (fractional coordinates):
Sm1 0.000 0.000 0.500
Sm2 0.000 0.500 0.000
Sm3 0.500 0.000 0.000
Sm4 0.500 0.500 0.500
Mg1 0.000 0.000 0.000
Al1 0.000 0.317 0.317
Al2 0.000 0.683 0.683
Al3 0.250 0.500 0.750
Al4 0.250 0.750 0.500
Al5 0.317 0.000 0.317
Al6 0.317 0.317 0.000
Al7 0.500 0.250 0.750
Al8 0.500 0.750 0.250
Al9 0.683 0.000 0.683
Al10 0.683 0.683 0.000
Al11 0.750 0.250 0.500
Al12 0.750 0.500 0.250

Magnetization = 0.0 μB per formula unit
Space-group type = Im-3m
Total energy = -0.3105 Ry per atom

# 3
Compound: SmMg4Al2
Source: Alexandria
Functional: PBE-GGA
Structure: optimized geometry

Cell lengths 6.076, 6.076, 5.588 Å; angles 116.92, 116.92, 66.54 degrees
Atoms (fractional coordinates):
Sm1 0.000 0.000 0.000
Mg1 0.030 0.599 0.314
Mg2 0.401 0.970 0.686
Mg3 0.599 0.030 0.314
Mg4 0.970 0.401 0.686
Al1 0.499 0.499 0.767
Al2 0.501 0.501 0.233

Magnetization = 0.0 μB per formula unit
Space-group type = C2/m
Total energy = -0.1973 Ry per atom